CaBe2CrCd: relaxed, PBE-GGA.

Output
Mass density in g/cm³: 2.54
Crystal system: tetragonal
Energy of formation in kJ per mole of atoms: 177.6
Total DFT energy (no corrections) in eV per cell: -10.79

The structure in POSCAR format:
```
CaBe2CrCd
1.0
5.0972 0.0000 0.0000
0.0000 5.0972 0.0000
0.0000 0.0000 5.6088
Ca Be Cr Cd
1 2 1 1
Direct
0.0000 0.0000 0.0000
0.0000 0.5000 0.0000
0.5000 0.0000 0.0000
0.5000 0.5000 0.5000
0.0000 0.0000 0.5000
```